## Cr3O8 (PBE with a Hubbard U)

Data for a relaxed structure of Cr3O8.

Structure (POSCAR):
```
Cr3O8
1.0
5.236 -0.014 0.037
2.416 4.645 0.037
0.250 0.151 6.999
Cr O
3 8
Direct
0.364 0.364 0.276 Cr
0.000 0.000 0.500 Cr
0.636 0.636 0.724 Cr
0.784 0.274 0.688 O
0.216 0.216 0.432 O
0.216 0.726 0.312 O
0.687 0.687 0.938 O
0.274 0.784 0.688 O
0.313 0.313 0.062 O
0.726 0.216 0.312 O
0.784 0.784 0.568 O
```

Values from the calculation:
- V: 15.491 Å³/atom
- SG: No. 12
- Distance to the lowest polymorph of the same formula: 11 meV/atom

***

## PaCrFeO6 (PBE with a Hubbard U)

Data for a relaxed structure of PaCrFeO6.

Structure (POSCAR):
```
PaCrFeO6
1.0
-1.352 5.146 0.204
-3.394 -3.715 1.740
3.449 0.590 7.987
Pa Cr Fe O
2 2 2 12
Direct
0.333 0.667 0.250 Pa
0.667 0.333 0.750 Pa
0.667 0.333 0.250 Cr
0.333 0.667 0.750 Cr
0.000 0.000 0.000 Fe
0.000 0.000 0.500 Fe
0.683 0.657 0.127 O
0.974 0.317 0.127 O
0.317 0.974 0.627 O
0.026 0.683 0.873 O
0.343 0.317 0.373 O
0.974 0.657 0.373 O
0.657 0.974 0.873 O
0.683 0.026 0.373 O
0.026 0.343 0.627 O
0.343 0.026 0.127 O
0.657 0.683 0.627 O
0.317 0.343 0.873 O
```

Values from the calculation:
- Raw total energy: -143.63 eV for the cell shown
- V: 11.896 Å³/atom
- SG: No. 163